Sr2AlCu4Si3: optimized geometry, PBE-GGA.

```
10
Lattice="-3.2588 -0.2555 -2.5942 -0.8130 -3.8463 1.4001 -6.0900 3.9311 7.2632" Properties=species:S:1:pos:R:3 pbc="T T T"
Sr -3.1052 0.8249 0.4630
Sr -5.0207 1.0554 6.2031
Cu -2.6311 -0.4871 3.3532
Cu -2.0359 -2.0509 -0.5971
Cu 0.0000 0.0000 0.0000
Cu -5.4948 2.3674 3.3130
Si -1.1485 -1.4442 1.5849
Si -3.0450 1.9656 3.6316
Si -6.9775 3.3244 5.0812
Al -5.0809 -0.0853 3.0346
```

D(E_F), states/eV/f.u.: 5.21
Mass density, g/cm³: 5.02
SG: No. 115
Raw total energy, eV/atom: -4.287
Total magnetization, μB/cell: 0.000

***

Ac2Nd5Sn4: optimized geometry, PBE-GGA.

```
11
Lattice="4.0993 0.0000 0.0000 0.0000 7.9807 0.3143 -2.0496 -2.2527 12.1724" Properties=species:S:1:pos:R:3 pbc="T T T"
Sn 2.0496 0.2705 11.9858
Sn 0.0000 5.4575 0.5009
Sn 2.0496 5.1146 2.5318
Sn 0.0000 0.6134 9.9549
Nd 2.0496 0.0000 0.0000
Nd 2.0496 3.0390 9.5276
Nd 2.0496 -1.4664 8.7722
Nd 0.0000 2.6890 2.9590
Nd 0.0000 7.1944 3.7145
Ac 0.0000 1.2049 6.6689
Ac 2.0496 4.5231 5.8178
```

D(E_F), states/eV/f.u.: 13.36
Mass density, g/cm³: 6.83
SG: No. 12
Raw total energy, eV/atom: -4.539
Total magnetization, μB/cell: 0.064
Formation energy from the elements, meV per atom: -169.3

***

Cs2CeAs2S6: optimized geometry, PBE-GGA.

```
11
Lattice="-6.8383 1.6210 1.7240 2.1820 -6.7228 -0.2099 2.7805 3.9438 7.3204" Properties=species:S:1:pos:R:3 pbc="T T T"
S 0.5112 -1.4446 3.3860
S -3.1292 3.8626 6.8382
S -2.3870 0.2866 5.4486
S -2.2121 -4.1991 2.8701
S 1.2534 -5.0206 1.9964
S 0.3363 3.0411 5.9645
Cs 1.5941 -0.2045 6.5154
Cs -3.4700 -0.9535 2.3191
As 0.3936 -0.0457 1.6041
As -2.2694 -1.1123 7.2305
Ce -2.0289 2.7824 4.5222
```

Mass density, g/cm³: 3.54
SG: No. 12
Raw total energy, eV/atom: -4.691
Total magnetization, μB/cell: 0.000

***

CaLa4Tb2: optimized geometry, PBE-GGA.

```
7
Lattice="3.6845 0.0000 0.3190 1.8284 3.1988 0.3190 -0.0019 -0.0011 21.4592" Properties=species:S:1:pos:R:3 pbc="T T T"
Tb 3.1450 1.8249 6.5493
Tb 2.3660 1.3728 15.5479
La 0.7862 0.4562 12.3569
La 3.9548 2.2947 18.6336
La 1.5562 0.9029 3.4637
La 4.7248 2.7415 9.7403
Ca 0.0000 0.0000 0.0000
```

D(E_F), states/eV/f.u.: 10.34
Mass density, g/cm³: 6.00
SG: No. 166
Raw total energy, eV/atom: -4.402
Total magnetization, μB/cell: 0.000
Formation energy from the elements, meV per atom: 22.6

***

LaSm3Pd: optimized geometry, PBE-GGA.

```
10
Lattice="3.8081 0.0000 0.6257 1.8038 6.1805 0.9230 -0.1756 -0.0410 12.9692" Properties=species:S:1:pos:R:3 pbc="T T T"
Sm 0.6150 0.9367 8.1576
Sm 2.6367 3.8631 7.7544
Sm 4.0561 4.4732 11.0172
Sm 3.4053 5.8813 3.0772
Sm 3.8214 0.7159 12.4455
Sm 3.0081 0.1341 5.4941
La 1.2271 3.0550 4.4326
La 1.6798 3.4239 13.5782
Pd 3.4679 2.0639 2.6964
Pd 2.2042 2.0298 10.3865
```

D(E_F), states/eV/f.u.: 6.41
Energy above the lowest structure with this stoichiometry, meV per atom: 0
Mass density, g/cm³: 7.56
SG: No. 8
Raw total energy, eV/atom: -5.173
Total magnetization, μB/cell: 0.000
Formation energy from the elements, meV per atom: -317.6

***

Ca5Ac6Nd: optimized geometry, PBE-GGA.

```
12
Lattice="-4.4791 -3.2034 -0.1832 6.2117 -8.4675 -3.9710 0.6309 3.2958 9.8179" Properties=species:S:1:pos:R:3 pbc="T T T"
Ac -0.1146 -0.3438 8.7706
Ac 0.3556 -5.4744 4.0945
Ac -2.8228 -1.1429 6.1268
Ac 2.4782 -8.0312 -3.1070
Ac 2.0080 -2.9006 1.5691
Ac 5.1864 -7.2321 -0.4631
Ca 3.1059 -4.2337 -1.9855
Ca 1.3577 -6.6691 0.4636
Ca 1.0059 -1.7059 5.2001
Ca 4.1025 -5.9251 3.1690
Ca -1.7389 -2.4499 2.4947
Nd 0.0000 0.0000 0.0000
```

D(E_F), states/eV/f.u.: 19.23
Mass density, g/cm³: 5.53
SG: No. 71
Raw total energy, eV/atom: -3.224
Total magnetization, μB/cell: 0.000
Formation energy from the elements, meV per atom: 61.4

***

AcSnPSe: optimized geometry, PBE-GGA.

```
8
Lattice="-1.8117 -0.4953 -4.9995 -4.9740 -0.5704 1.8590 -1.1083 8.2960 -0.4202" Properties=species:S:1:pos:R:3 pbc="T T T"
Se -0.5542 4.1480 -0.2101
Se -3.9470 3.6152 -1.7803
Ac -2.8441 2.3874 0.7941
Ac -1.6571 5.3758 -2.7846
Sn -3.3929 -0.5328 -1.5702
Sn 0.0000 0.0000 0.0000
P -3.5071 7.3503 0.5427
P -0.9941 0.4128 -2.5332
```

D(E_F), states/eV/f.u.: 0.69
Mass density, g/cm³: 6.33
SG: No. 129
Raw total energy, eV/atom: -5.145
Total magnetization, μB/cell: 0.000

***

Tm3Co2Si4: optimized geometry, PBE-GGA.

```
9
Lattice="-2.4788 -0.6730 -2.9428 4.2563 -3.6635 -0.1551 -4.9558 -3.6704 5.0139" Properties=species:S:1:pos:R:3 pbc="T T T"
Si -0.2602 -2.3229 -1.8419
Si -1.6311 -6.1666 0.1919
Si -2.9181 -5.6840 3.7580
Si -1.5472 -1.8403 1.7241
Tm 0.3189 -3.9222 0.6284
Tm 0.0000 0.0000 0.0000
Tm -3.4972 -4.0847 1.2877
Co -1.2107 -5.7956 2.3453
Co -1.9676 -2.2113 -0.4292
```

D(E_F), states/eV/f.u.: 6.36
Energy above the lowest structure with this stoichiometry, meV per atom: 62
Mass density, g/cm³: 7.64
SG: No. 12
Raw total energy, eV/atom: -6.199
Total magnetization, μB/cell: 0.000

***

Among the records above, which one has the lowest mass density?
Cs2CeAs2S6

***

What is the formula in the third record?
Cs2CeAs2S6

***

Among the records above, which one has the highest raw total energy?
Ca5Ac6Nd